(1)
Y2GeSe (GGA-PBE, optimized geometry); DOS(E_F) = 0.000 states/eV/f.u.; E above lowest polymorph = 50.8 kJ per mole of atoms; magnetization = 0.0 μB per formula unit; formation energy without anion corrections = -884.0 meV per atom
1.0
-3.1792 3.1792 6.7596
3.1792 -3.1792 6.7596
3.1792 3.1792 -6.7596
Y Ge Se
4 2 2
Direct
0.1149 0.6250 0.9899
0.3750 0.3649 0.4899
0.6351 0.1250 0.0101
0.8750 0.8851 0.5101
0.0000 0.0000 0.0000
0.7500 0.2500 0.5000
0.2500 0.7500 0.5000
0.5000 0.5000 0.0000

***

(2)
Y5GeSe5 (GGA-PBE, optimized geometry); DOS(E_F) = 2.391 states/eV/f.u.; magnetization = 0.0 μB per formula unit; formation energy without anion corrections = -1746.0 meV per atom
1.0
6.5024 -2.8937 0.0000
6.5024 2.8937 0.0000
-2.5764 0.0000 7.7693
Y Ge Se
5 1 5
Direct
0.0000 0.0000 0.0000
0.3379 0.3379 0.6692
0.3404 0.3404 0.1710
0.6596 0.6596 0.8290
0.6621 0.6621 0.3308
0.5000 0.5000 0.0000
0.1697 0.1697 0.3347
0.1697 0.1697 0.8360
0.5000 0.5000 0.5000
0.8303 0.8303 0.1640
0.8303 0.8303 0.6653